(1)
VASP calculation (PBE) on a geometry-optimized SrAlSi4 structure.

The space group is F-43m (No. 216) and the conventional cell measures 7.586, 7.586 and 7.586 Å, with angles of 90.00, 90.00 and 90.00 degrees. The asymmetric unit holds Sr at (0.000, 0.000, 0.000), Al at (0.250, 0.250, 0.750) and Si at (0.122, 0.122, 0.378).

As for the total moment: 0.000 μB per formula unit. The value obtained for the total energy is -4.394 eV per atom.

=====

(2)
VASP calculation (PBE) on a geometry-optimized SrSbBr structure.

The space group is P-6m2 (No. 187) and the conventional cell measures 5.3514, 5.3514 and 4.0085 Å, with angles of 90.00, 90.00 and 120.00 degrees. The asymmetric unit holds Sr at (0.0000, 0.0000, 0.0000), Sb at (0.3333, 0.6667, 0.5000) and Br at (0.6667, 0.3333, 0.0000).

As for the total moment: 1.144 μB per formula unit. The value obtained for the total energy is -3.214 eV per atom. The polymorph energy (0 for the lowest one) is 680 meV/atom.